[1]
4
Lattice="-1.999 1.999 3.911 1.999 -1.999 3.911 1.999 1.999 -3.911" Properties=species:S:1:pos:R:3 comment="LaCoNi2 (GGA-PBE, relaxed)" delta_e_f_ev_per_atom=0.138 pbc="T T T"
La 0.000 0.000 0.000
Co 0.000 0.000 3.911
Ni 1.999 0.000 1.956
Ni 0.000 1.999 1.956

---

[2]
5
Lattice="5.088 0.000 0.000 0.000 5.088 0.000 0.000 0.000 4.586" Properties=species:S:1:pos:R:3 comment="TlRePCl2 (GGA-PBE, relaxed)" e_above_lowest_polymorph_ev_per_atom=0.0000 e_form_raw_ev_per_atom=0.0380 pbc="T T T"
Tl 0.000 0.000 0.000
Re 2.544 2.544 2.293
P 2.544 2.544 0.000
Cl 0.000 2.544 2.293
Cl 2.544 0.000 2.293

---

[3]
17
Lattice="-4.110 4.110 4.110 4.110 -4.110 4.110 4.110 4.110 -4.110" Properties=species:S:1:pos:R:3 comment="V4Pt12Rh (GGA-PBE, relaxed)" delta_e_f_ev_per_atom=-0.005 pbc="T T T"
V 2.055 2.055 -2.055
V 2.055 -2.055 2.055
V -2.055 2.055 2.055
V 2.055 2.055 2.055
Pt 2.428 0.000 0.000
Pt 5.792 0.000 0.000
Pt 4.110 2.055 0.000
Pt 4.110 0.000 2.055
Pt 0.000 2.428 0.000
Pt 0.000 0.000 2.428
Pt 2.055 4.110 0.000
Pt 2.055 0.000 4.110
Pt 0.000 5.792 0.000
Pt 0.000 0.000 5.792
Pt 0.000 4.110 2.055
Pt 0.000 2.055 4.110
Rh 0.000 0.000 0.000

---

[4]
3
Lattice="3.704 0.000 0.000 -1.852 3.207 0.000 0.000 0.000 9.235" Properties=species:S:1:pos:R:3 comment="SrDyHo (GGA-PBE, relaxed)" e_above_lowest_polymorph_ev_per_atom=0.0252 delta_e_f_ev_per_atom=0.164 pbc="T T T"
Sr 0.000 0.000 0.000
Dy 0.000 2.138 5.956
Ho 1.852 1.069 3.262

---

[5]
5
Lattice="5.084 0.000 0.000 0.000 5.084 0.000 0.000 0.000 5.084" Properties=species:S:1:pos:R:3 comment="MgAs3I (GGA-PBE, relaxed)" e_form_raw_ev_per_atom=0.7080 pbc="T T T"
Mg 0.000 0.000 0.000
As 0.000 0.000 2.542
As 0.000 2.542 0.000
As 2.542 0.000 0.000
I 2.542 2.542 2.542

---

[6]
6
Lattice="4.243 0.000 0.000 0.000 4.243 0.000 0.000 0.000 6.095" Properties=species:S:1:pos:R:3 comment="MgFeTe (GGA-PBE, relaxed)" e_above_lowest_polymorph_ev_per_atom=0.0000 e_form_raw_ev_per_atom=-0.0648 pbc="T T T"
Mg 1.061 1.061 1.355
Mg 3.182 3.182 4.740
Fe 1.061 3.182 3.048
Fe 3.182 1.061 3.048
Te 1.061 1.061 4.535
Te 3.182 3.182 1.560

---

[7]
4
Lattice="3.902 0.000 0.000 0.000 3.902 0.000 0.000 0.000 6.539" Properties=species:S:1:pos:R:3 comment="Na2CdGa (GGA-PBE, relaxed)" delta_e_f_ev_per_atom=0.001 pbc="T T T"
Na 0.000 0.000 1.570
Na 0.000 0.000 4.968
Cd 1.951 1.951 3.269
Ga 1.951 1.951 0.000

---

[8]
4
Lattice="2.324 1.342 7.987 -2.324 1.342 7.987 0.000 -2.683 7.987" Properties=species:S:1:pos:R:3 comment="Ba2AgPt (GGA-PBE, relaxed)" delta_e_f_ev_per_atom=-0.466 pbc="T T T"
Ba 0.000 0.000 5.734
Ba 0.000 0.000 18.228
Ag 0.000 0.000 0.000
Pt 0.000 0.000 11.981

---

[9]
4
Lattice="0.000 4.007 4.007 4.007 0.000 4.007 4.007 4.007 0.000" Properties=species:S:1:pos:R:3 comment="Ce2PmHo (GGA-PBE, relaxed)" e_above_lowest_polymorph_ev_per_atom=0.1479 delta_e_f_ev_per_atom=0.258 pbc="T T T"
Ce 2.004 2.004 2.004
Ce 6.011 6.011 6.011
Pm 0.000 0.000 0.000
Ho 4.007 4.007 4.007

---

[10]
4
Lattice="3.325 0.000 0.000 0.000 3.325 0.000 0.000 0.000 8.636" Properties=species:S:1:pos:R:3 comment="LuPu2Ru (GGA-PBE, relaxed)" e_above_lowest_polymorph_ev_per_atom=0.0000 delta_e_f_ev_per_atom=-0.001 pbc="T T T"
Lu 0.000 0.000 0.000
Pu 1.662 1.662 2.584
Pu 1.662 1.662 6.052
Ru 0.000 0.000 4.318

---

[11]
5
Lattice="4.682 0.000 0.000 0.000 4.682 0.000 0.000 0.000 4.156" Properties=species:S:1:pos:R:3 comment="MgBeGaPd2 (GGA-PBE, relaxed)" delta_e_f_ev_per_atom=0.136 pbc="T T T"
Mg 0.000 0.000 0.000
Be 2.341 2.341 0.000
Ga 2.341 2.341 2.078
Pd 0.000 2.341 2.078
Pd 2.341 0.000 2.078

---

[12]
10
Lattice="6.165 -2.027 0.000 6.165 2.027 0.000 -0.038 0.000 11.266" Properties=species:S:1:pos:R:3 comment="Rb2BiH2 (GGA-PBE, relaxed)" e_above_lowest_polymorph_ev_per_atom=0.0000 pbc="T T T"
Rb 1.619 0.000 0.873
Rb 1.625 0.000 4.678
Rb 10.666 0.000 6.588
Rb 10.672 0.000 10.393
Bi 1.677 0.000 8.404
Bi 10.615 0.000 2.862
H 4.445 0.000 4.005
H 4.555 0.000 1.293
H 7.737 0.000 9.973
H 7.847 0.000 7.261